First-principles (PBE-GGA) data for Ba3PO after structural relaxation, as listed in Alexandria.

```
5
Lattice="5.328 0.000 0.000 0.000 5.328 0.000 0.000 0.000 5.328" Properties=species:S:1:pos:R:3 pbc="T T T"
P 2.664 2.664 2.664
Ba 0.000 2.664 0.000
Ba 2.664 0.000 0.000
Ba 0.000 0.000 2.664
O 0.000 0.000 0.000
```

## Properties
Fermi-level density of states: 2.63 states/eV/f.u.
Total DFT energy (no corrections): -4.53 eV per atom
Size of the total moment: 0.00 μB per cell
Symmetry: Pm-3m (221)
Crystal system: cubic